Computed, not measured: a relaxed structure of Si2HgTe at the GGA-PBE level of DFT.

Results
M_tot, μB/f.u.: 0.00
ΔE to the lowest computed polymorph, eV per atom: 0.000
Uncorrected formation energy, eV/atom: 0.173
V, Å³ per cell: 110.9

Cell and atoms, written as CIF:
```
data_Si2HgTe
_chemical_formula_sum 'Si2 Hg1 Te1'
_space_group_name_H-M_alt 'P 1 m 1'
_space_group_IT_number 6
_cell_length_a 4.422
_cell_length_b 4.000
_cell_length_c 6.271
_cell_angle_alpha 90.00
_cell_angle_beta 90.01
_cell_angle_gamma 90.00
loop_
_space_group_symop_operation_xyz
'x,y,z'
'x,-y,z'
loop_
_atom_site_label
_atom_site_type_symbol
_atom_site_fract_x
_atom_site_fract_y
_atom_site_fract_z
_atom_site_occupancy
Si1 Si 0.000 0.000 0.000 1
Si2 Si 0.001 0.500 0.208 1
Hg1 Hg 0.501 0.500 0.398 1
Te1 Te 0.500 0.000 0.759 1
```